Record 1
{"formula": "BeGeI3", "functional": "PBE-GGA", "state": "optimized geometry", "lattice_angstrom": [[5.277, 0.000, 0.000], [0.000, 5.277, 0.000], [0.000, 0.000, 5.277]], "species": ["Be", "Ge", "I", "I", "I"], "frac_coords": [[0.000, 0.000, 0.000], [0.500, 0.500, 0.500], [0.000, 0.000, 0.500], [0.000, 0.500, 0.000], [0.500, 0.000, 0.000]], "sg": "No. 221", "dos_at_fermi_per_ev_cell": 2.09, "raw_formation_energy_ev_per_atom": 0.290, "polymorph_energy_mev_per_atom": 0.0, "crystal_system": "cubic"}


Record 2
{"formula": "Rb2LaFeMo", "functional": "PBE-GGA", "state": "optimized geometry", "lattice_angstrom": [[6.845, 0.000, 0.000], [0.000, 6.845, 0.000], [0.000, 0.000, 4.993]], "species": ["Rb", "Rb", "La", "Fe", "Mo"], "frac_coords": [[0.000, 0.500, 0.000], [0.500, 0.000, 0.000], [0.000, 0.000, 0.500], [0.500, 0.500, 0.500], [0.000, 0.000, 0.000]], "formation_energy_ev_per_atom": 1.605, "sg": "No. 123", "dos_at_fermi_per_ev_cell": 32.37, "crystal_system": "tetragonal"}


Record 3
{"formula": "TiCrPH2", "functional": "PBE-GGA", "state": "optimized geometry", "lattice_angstrom": [[3.444, 0.000, 0.000], [0.000, 3.444, 0.000], [0.000, 0.000, 4.620]], "species": ["Ti", "Cr", "P", "H", "H"], "frac_coords": [[0.000, 0.000, 0.000], [0.500, 0.500, 0.000], [0.500, 0.500, 0.500], [0.000, 0.500, 0.500], [0.500, 0.000, 0.500]], "sg": "No. 123", "dos_at_fermi_per_ev_cell": 3.57, "crystal_system": "tetragonal", "e_tot_ev_per_atom": -5.33}


Record 4
{"formula": "TaFeTeN2", "functional": "PBE-GGA", "state": "optimized geometry", "lattice_angstrom": [[3.830, 0.000, 0.000], [0.000, 3.830, 0.000], [0.000, 0.000, 5.079]], "species": ["Ta", "Fe", "Te", "N", "N"], "frac_coords": [[0.000, 0.000, 0.000], [0.500, 0.500, 0.500], [0.500, 0.500, 0.000], [0.000, 0.500, 0.500], [0.500, 0.000, 0.500]], "sg": "No. 123", "dos_at_fermi_per_ev_cell": 3.48, "raw_formation_energy_ev_per_atom": 1.277, "polymorph_energy_mev_per_atom": 766.6, "crystal_system": "tetragonal"}


Record 5
{"formula": "Sr2TbCeSe4", "functional": "PBE-GGA", "state": "optimized geometry", "lattice_angstrom": [[7.373, 0.000, 0.000], [0.000, 4.255, 0.000], [-2.453, 0.000, 7.130]], "species": ["Sr", "Sr", "Tb", "Ce", "Se", "Se", "Se", "Se"], "frac_coords": [[0.000, 0.000, 0.000], [0.500, 0.500, 0.000], [0.000, 0.500, 0.500], [0.500, 0.000, 0.500], [0.239, 0.000, 0.734], [0.248, 0.500, 0.262], [0.752, 0.500, 0.738], [0.761, 0.000, 0.266]], "sg": "No. 10", "dos_at_fermi_per_ev_cell": 8.56, "raw_formation_energy_ev_per_atom": -1.879, "crystal_system": "monoclinic"}


Record 6
{"formula": "Pr4Y2Tm5", "functional": "PBE-GGA", "state": "optimized geometry", "lattice_angstrom": [[9.613, -2.838, 0.000], [9.613, 2.838, 0.000], [-0.121, 0.000, 6.617]], "species": ["Pr", "Pr", "Pr", "Pr", "Y", "Y", "Tm", "Tm", "Tm", "Tm", "Tm"], "frac_coords": [[0.022, 0.022, 0.284], [0.306, 0.306, 0.927], [0.694, 0.694, 0.073], [0.978, 0.978, 0.716], [0.401, 0.401, 0.444], [0.599, 0.599, 0.556], [0.131, 0.131, 0.885], [0.210, 0.210, 0.402], [0.500, 0.500, 0.000], [0.790, 0.790, 0.598], [0.869, 0.869, 0.115]], "formation_energy_ev_per_atom": 0.099, "sg": "No. 12", "dos_at_fermi_per_ev_cell": 16.17, "polymorph_energy_mev_per_atom": 0.0, "crystal_system": "monoclinic"}


Record 7
{"formula": "PaPb2Br8", "functional": "PBE-GGA", "state": "optimized geometry", "lattice_angstrom": [[7.523, -3.652, 0.000], [7.523, 3.652, 0.000], [-0.211, 0.000, 7.965]], "species": ["Pa", "Pb", "Pb", "Br", "Br", "Br", "Br", "Br", "Br", "Br", "Br"], "frac_coords": [[0.000, 0.000, 0.000], [0.139, 0.139, 0.516], [0.861, 0.861, 0.484], [0.178, 0.178, 0.900], [0.212, 0.703, 0.745], [0.297, 0.788, 0.255], [0.308, 0.308, 0.399], [0.692, 0.692, 0.601], [0.703, 0.212, 0.745], [0.788, 0.297, 0.255], [0.822, 0.822, 0.100]], "sg": "No. 12", "dos_at_fermi_per_ev_cell": 0.93, "raw_formation_energy_ev_per_atom": -1.105, "crystal_system": "monoclinic"}


Record 8
{"formula": "LaOs2W", "functional": "PBE-GGA", "state": "optimized geometry", "lattice_angstrom": [[1.441, 0.832, 9.844], [-1.441, 0.832, 9.844], [0.000, -1.664, 9.844]], "species": ["La", "Os", "Os", "W"], "frac_coords": [[0.000, 0.000, 0.000], [0.239, 0.239, 0.239], [0.761, 0.761, 0.761], [0.500, 0.500, 0.500]], "formation_energy_ev_per_atom": 0.527, "sg": "No. 166", "dos_at_fermi_per_ev_cell": 4.01, "polymorph_energy_mev_per_atom": 390.0, "crystal_system": "trigonal"}